A relaxed structure of TlPd2Au5. Source: the Alexandria database, functional PBE.

Results
calculated total energy: -3.72 eV/atom
volume: 18.0 Å³/atom
energy relative to the elements: -77 meV/atom
space-group type: Pbam (55)
total magnetic moment: 0.00 μB/atom

Cell lengths 4.1478, 5.8830, 11.8193 Å; angles 90.00, 90.00, 90.00 degrees
Positions (direct):
Tl  0.0000  0.0000  0.5000
Tl  0.0000  0.5000  0.0000
Pd  0.5000  0.2312  0.6209
Pd  0.5000  0.7688  0.3791
Pd  0.5000  0.2688  0.1209
Pd  0.5000  0.7312  0.8791
Au  0.0000  0.0000  0.0000
Au  0.0000  0.5000  0.5000
Au  0.0000  0.4718  0.7474
Au  0.0000  0.5282  0.2526
Au  0.0000  0.0282  0.2474
Au  0.0000  0.9718  0.7526
Au  0.5000  0.2245  0.8682
Au  0.5000  0.7755  0.1318
Au  0.5000  0.2755  0.3682
Au  0.5000  0.7245  0.6318

A relaxed structure of Tl2Pd7Au. Source: the Alexandria database, functional PBE.

Results
calculated total energy: -4.29 eV/atom
volume: 19.8 Å³/atom
energy relative to the elements: 149 meV/atom
space-group type: Cmmm (65)
total magnetic moment: 0.00 μB/atom

Cell lengths 2.8516, 9.1781, 9.1781 Å; angles 124.64, 90.00, 90.00 degrees
Positions (direct):
Tl  0.5000  0.6810  0.3190
Tl  0.5000  0.3190  0.6810
Pd  0.0000  0.8269  0.1731
Pd  0.0000  0.1731  0.8269
Pd  0.5000  0.1430  0.3196
Pd  0.5000  0.8570  0.6804
Pd  0.5000  0.3196  0.1430
Pd  0.5000  0.6804  0.8570
Pd  0.5000  0.5000  0.5000
Au  0.0000  0.0000  0.0000

A relaxed structure of Tl2PdAu2. Source: the Alexandria database, functional PBE.

Results
calculated total energy: -3.23 eV/atom
volume: 22.4 Å³/atom
energy relative to the elements: 70 meV/atom
offset from the most stable computed form: 0.106 eV/atom
space-group type: P4/mbm (127)
total magnetic moment: 0.00 μB/atom

Cell lengths 7.2494, 7.2494, 4.2692 Å; angles 90.00, 90.00, 90.00 degrees
Positions (direct):
Tl  0.1733  0.6733  0.5000
Tl  0.6733  0.8267  0.5000
Tl  0.8267  0.3267  0.5000
Tl  0.3267  0.1733  0.5000
Au  0.3619  0.8619  0.0000
Au  0.8619  0.6381  0.0000
Au  0.6381  0.1381  0.0000
Au  0.1381  0.3619  0.0000
Pd  0.0000  0.0000  0.0000
Pd  0.5000  0.5000  0.0000